Record 1
The following is a PBE-GGA calculation of NiW4 after structural relaxation, from Alexandria via LeMat-Bulk.

Unit cell a=5.131 b=5.131 c=5.131 alpha=95.70 beta=95.70 gamma=143.26
Positions (direct):
1 Ni 0.000 0.000 0.000
2 W 0.202 0.602 0.804
3 W 0.398 0.202 0.600
4 W 0.602 0.798 0.400
5 W 0.798 0.398 0.196

Density of states at the Fermi level, states/eV per cell: 5.4
Energy of formation from the pure elements, meV/atom: 201
ρ, g/cm3: 17.19
ΔE to the lowest computed polymorph, eV/f.u.: 0.00

Record 2
The following is a PBE-GGA calculation of NiW3 after structural relaxation, from Alexandria via LeMat-Bulk.

Unit cell a=3.908 b=3.908 c=3.908 alpha=90.00 beta=90.00 gamma=90.00
Positions (direct):
1 Ni 0.000 0.000 0.000
2 W 0.000 0.500 0.500
3 W 0.500 0.000 0.500
4 W 0.500 0.500 0.000

Density of states at the Fermi level, states/eV per cell: 4.2
Energy of formation from the pure elements, meV/atom: 177
ρ, g/cm3: 16.98

Record 3
The following is a PBE-GGA calculation of Ni2W after structural relaxation, from Alexandria via LeMat-Bulk.

Unit cell a=5.682 b=5.682 c=5.682 alpha=152.93 beta=152.93 gamma=38.65
Positions (direct):
1 Ni 0.172 0.172 0.000
2 Ni 0.828 0.828 0.000
3 W 0.500 0.500 0.000

Density of states at the Fermi level, states/eV per cell: 3.4
Energy of formation from the pure elements, meV/atom: 18
ρ, g/cm3: 13.19